(1)
The following is a DFT calculation (PBE) of BaBe2AlAs after structural relaxation.

## Properties
Its crystal system is tetragonal. The energy relative to the elements comes out at 2.028 eV/atom. The density of states at the Fermi level comes out at 0.535 states/eV/atom.

a = 5.164 Å, b = 5.164 Å, c = 5.838 Å
α = 90.00°, β = 90.00°, γ = 90.00°
Positions (direct):
Ba  0.000  0.000  0.000
Be  0.000  0.500  0.000
Be  0.500  0.000  0.000
Al  0.000  0.000  0.500
As  0.500  0.500  0.500


(2)
The following is a DFT calculation (PBE) of RbLa2V2 after structural relaxation.

## Properties
Its crystal system is tetragonal. The energy relative to the elements comes out at 0.738 eV/atom. The density of states at the Fermi level comes out at 1.108 states/eV/atom. The value obtained for the relative energy among the computed polymorphs is 165 meV per atom.

a = 9.302 Å, b = 9.302 Å, c = 3.442 Å
α = 90.00°, β = 90.00°, γ = 90.00°
Positions (direct):
Rb  0.000  0.000  0.000
Rb  0.500  0.500  0.000
La  0.199  0.301  0.000
La  0.301  0.801  0.000
La  0.699  0.199  0.000
La  0.801  0.699  0.000
V  0.073  0.573  0.500
V  0.427  0.073  0.500
V  0.573  0.927  0.500
V  0.927  0.427  0.500


(3)
The following is a DFT calculation (PBE) of MnFeIr2 after structural relaxation.

## Properties
Its crystal system is orthorhombic. The energy relative to the elements comes out at -0.052 eV/atom. The density of states at the Fermi level comes out at 1.252 states/eV/atom. The value obtained for the relative energy among the computed polymorphs is 138 meV per atom.

a = 3.993 Å, b = 5.017 Å, c = 5.017 Å
α = 30.83°, β = 90.00°, γ = 90.00°
Positions (direct):
Mn  0.000  0.000  0.000
Fe  0.500  0.130  0.130
Ir  0.000  0.734  0.734
Ir  0.500  0.397  0.397